Entry 1:
A plane-wave DFT calculation with GGA-PBE was carried out for crystalline GdAgSnTe3 at its relaxed geometry.

Computed properties:
* ΔE to the lowest computed polymorph: 8.0 meV per atom
* total moment: 0.0003 μB per atom

abc: 4.3181 14.7571 11.2117
angles: 90.00 90.00 90.00
Space group Cmcm (No. 63)
Asymmetric unit:
Gd (0.0000, 0.0000, 0.0000)
Ag (0.0000, 0.4724, 0.2500)
Sn (0.0000, 0.2301, 0.7500)
Te (0.0000, 0.0971, 0.2500)
Te (0.0000, 0.3516, 0.0572)



Entry 2:
A plane-wave DFT calculation with GGA-PBE was carried out for crystalline CsNaTh at its relaxed geometry.

Computed properties:
* ΔE to the lowest computed polymorph: 40.0 meV per atom
* total moment: 0.5643 μB per atom

abc: 8.0892 8.0892 8.0892
angles: 90.00 90.00 90.00
Space group F-43m (No. 216)
Asymmetric unit:
Cs (0.0000, 0.0000, 0.0000)
Na (0.2500, 0.2500, 0.2500)
Th (0.2500, 0.2500, 0.7500)



Entry 3:
A plane-wave DFT calculation with GGA-PBE was carried out for crystalline BaHoCu2Sb2 at its relaxed geometry.

Computed properties:
* total moment: 0.0138 μB per atom
* uncorrected energy: -26.26 eV per cell

abc: 4.5081 4.5081 8.6347
angles: 90.00 90.00 120.00
Space group P-3m1 (No. 164)
Asymmetric unit:
Ba (0.0000, 0.0000, 0.0000)
Ho (0.0000, 0.0000, 0.5000)
Cu (0.3333, 0.6667, 0.3187)
Sb (0.3333, 0.6667, 0.7224)



Entry 4:
A plane-wave DFT calculation with GGA-PBE was carried out for crystalline NiAg2Os at its relaxed geometry.

Computed properties:
* energy of formation from the pure elements: 0.74 eV/atom
* total moment: 0.5031 μB per atom

abc: 6.2519 6.2519 6.2519
angles: 90.00 90.00 90.00
Space group F-43m (No. 216)
Asymmetric unit:
Ni (0.0000, 0.0000, 0.0000)
Ag (0.0000, 0.0000, 0.5000)
Ag (0.2500, 0.2500, 0.2500)
Os (0.2500, 0.2500, 0.7500)



Entry 5:
A plane-wave DFT calculation with GGA-PBE was carried out for crystalline Lu4AlSN2 at its relaxed geometry.

Computed properties:
* total moment: 0.0017 μB per atom
* uncorrected energy: -54.12 eV per cell

abc: 3.4472 3.4472 13.5465
angles: 90.00 90.00 120.00
Space group P-6m2 (No. 187)
Asymmetric unit:
Lu (0.0000, 0.0000, 0.1359)
Lu (0.6667, 0.3333, 0.3260)
Al (0.0000, 0.0000, 0.5000)
S (0.6667, 0.3333, 0.0000)
N (0.3333, 0.6667, 0.2270)



Entry 6:
A plane-wave DFT calculation with GGA-PBE was carried out for crystalline Dy2Cd3Sn3 at its relaxed geometry.

Computed properties:
* total moment: 0.0016 μB per atom
* uncorrected energy: -27.39 eV per cell

abc: 4.5913 4.7711 8.8964
angles: 90.00 90.00 90.00
Space group Pmmm (No. 47)
Asymmetric unit:
Dy (0.0000, 0.0000, 0.2445)
Cd (0.0000, 0.5000, 0.5000)
Cd (0.5000, 0.5000, 0.2595)
Sn (0.0000, 0.5000, 0.0000)
Sn (0.5000, 0.0000, 0.0000)
Sn (0.5000, 0.0000, 0.5000)



Entry 7:
A plane-wave DFT calculation with GGA-PBE was carried out for crystalline SmPaIr at its relaxed geometry.

Computed properties:
* energy of formation from the pure elements: -0.27 eV/atom
* ΔE to the lowest computed polymorph: 0.0 meV per atom
* total moment: 0.0005 μB per atom

abc: 6.8321 6.8321 6.8321
angles: 90.00 90.00 90.00
Space group F-43m (No. 216)
Asymmetric unit:
Sm (0.0000, 0.0000, 0.0000)
Pa (0.0000, 0.0000, 0.5000)
Ir (0.2500, 0.2500, 0.2500)



Entry 8:
A plane-wave DFT calculation with GGA-PBE was carried out for crystalline LaDy2 at its relaxed geometry.

Computed properties:
* energy of formation from the pure elements: 0.27 eV/atom
* total moment: 0.4198 μB per atom

abc: 9.4636 9.4636 9.4636
angles: 90.00 90.00 90.00
Space group Fd-3m (No. 227, origin choice 2)
Asymmetric unit:
La (0.1250, 0.1250, 0.1250)
Dy (0.0000, 0.0000, 0.5000)